# Ac2Cd2InPd5

A geometry-optimized Ac2Cd2InPd5 structure (GGA-PBE, Alexandria).

```
Ac2Cd2InPd5
1.0
-1.584 1.109 -3.292
-9.605 0.450 4.773
1.774 10.262 2.603
Cd Ac Pd In
4 4 10 2
Cartesian
-4.454 9.257 5.261
-7.736 4.239 5.150
-0.094 6.473 2.226
-3.376 1.455 2.114
-6.740 7.286 5.697
-1.667 8.625 3.707
-6.163 2.087 3.668
-1.091 3.426 1.679
-9.571 2.987 3.397
-6.672 5.486 2.844
0.156 8.834 0.687
-2.580 1.154 -0.584
-4.840 7.938 2.788
-6.835 10.666 4.667
-4.574 3.883 1.295
-2.743 6.335 1.239
0.095 5.685 -0.345
-5.594 0.779 0.740
0.000 0.000 0.000
-3.915 5.356 3.688
```

Calculated values
Fermi-level density of states in states/eV per cell: 9.56
Total magnetic moment in μB per formula unit: 0.00
Formation energy in meV per atom: -505
SG: No. 127